A plane-wave DFT calculation with GGA+U was carried out for a relaxed LiCoPO4 crystal.

Geometry as POSCAR:
```
LiCoPO4
1.0
4.930 0.000 0.000
0.000 7.927 0.077
0.000 1.071 17.022
Li Co P O
8 8 8 32
Direct
0.887 0.111 0.771
0.613 0.111 0.271
0.229 0.351 0.504
0.271 0.351 0.004
0.729 0.649 0.996
0.771 0.649 0.496
0.387 0.889 0.729
0.113 0.889 0.229
0.772 0.989 0.590
0.728 0.989 0.090
0.496 0.517 0.814
0.004 0.517 0.314
0.996 0.483 0.686
0.504 0.483 0.186
0.272 0.011 0.910
0.228 0.011 0.410
0.470 0.264 0.673
0.030 0.264 0.173
0.720 0.226 0.930
0.780 0.226 0.430
0.220 0.774 0.570
0.280 0.774 0.070
0.970 0.736 0.827
0.530 0.736 0.327
0.608 0.086 0.687
0.892 0.086 0.187
0.592 0.161 0.010
0.613 0.117 0.864
0.482 0.326 0.588
0.180 0.258 0.710
0.908 0.161 0.510
0.887 0.117 0.364
0.018 0.326 0.088
0.320 0.258 0.210
0.034 0.217 0.929
0.466 0.217 0.429
0.638 0.391 0.724
0.862 0.391 0.224
0.602 0.410 0.917
0.898 0.410 0.417
0.102 0.590 0.583
0.398 0.590 0.083
0.138 0.609 0.776
0.362 0.609 0.276
0.534 0.783 0.571
0.966 0.783 0.071
0.680 0.742 0.790
0.982 0.674 0.912
0.113 0.883 0.636
0.092 0.839 0.490
0.820 0.742 0.290
0.518 0.674 0.412
0.387 0.883 0.136
0.408 0.839 0.990
0.108 0.914 0.813
0.392 0.914 0.313
```

Crystal system: monoclinic
Relative energy among the computed polymorphs, meV/atom: 70
VASP energy, eV per atom: -6.5760
M_tot, μB per formula unit: 3.01